Record 1
Computed, not measured: an optimized crystal structure of SrWN3 at the PBE-GGA level of DFT.

E_form (uncorrected) (eV/atom): 0.37
Crystal system: hexagonal

abc: 4.0455 4.0455 8.4285
angles: 90.00 90.00 120.00
Closest atoms and distances in Å follow each position.
Positions (direct):
Sr  0.3333  0.6667  0.2500  5 N 2.34-2.43
Sr  0.6667  0.3333  0.7500  5 N 2.34-2.43
W  0.0000  0.0000  0.0000  8 N 2.11-2.36
W  0.0000  0.0000  0.5000  8 N 2.11-2.36
N  0.0000  0.0000  0.2500  2 W 2.11, 3 Sr 2.34
N  0.0000  0.0000  0.7500  2 W 2.11, 3 Sr 2.34
N  0.3333  0.6667  0.5387  3 W 2.36, 3 N 2.43, 1 Sr 2.43
N  0.3333  0.6667  0.9613  3 W 2.36, 3 N 2.43, 1 Sr 2.43
N  0.6667  0.3333  0.0387  3 W 2.36, 3 N 2.43, 1 Sr 2.43
N  0.6667  0.3333  0.4613  3 W 2.36, 3 N 2.43, 1 Sr 2.43

***

Record 2
Computed, not measured: an optimized crystal structure of Sr2WN4 at the PBE-GGA level of DFT.

Energy above the lowest structure with this stoichiometry (eV per formula unit): 3.55
E_form (uncorrected) (eV/atom): 0.04
Crystal system: tetragonal

abc: 6.0867 6.0867 3.4516
angles: 90.00 90.00 90.00
Closest atoms and distances in Å follow each position.
Positions (direct):
Sr  0.0000  0.5000  0.0000  8 N 2.77
Sr  0.5000  0.0000  0.0000  8 N 2.77
W  0.0000  0.0000  0.5000  4 N 1.93
N  0.2239  0.2239  0.5000  1 W 1.93
N  0.2239  0.7761  0.5000  1 W 1.93
N  0.7761  0.2239  0.5000  1 W 1.93
N  0.7761  0.7761  0.5000  1 W 1.93

***

Record 3
Computed, not measured: an optimized crystal structure of SrWN3 at the PBE-GGA level of DFT.

E_form (uncorrected) (eV/atom): -0.55
Crystal system: orthorhombic

abc: 7.2513 7.2513 5.7048
angles: 90.00 90.00 112.95
Closest atoms and distances in Å follow each position.
Positions (direct):
Sr  0.1102  0.3898  0.2500  7 N 2.57-2.87
Sr  0.3898  0.1102  0.7500  7 N 2.57-2.87
Sr  0.6102  0.8898  0.2500  7 N 2.57-2.87
Sr  0.8898  0.6102  0.7500  7 N 2.57-2.87
W  0.1432  0.8568  0.2763  4 N 1.93-2.02
W  0.3568  0.6432  0.7763  4 N 1.93-2.02
W  0.6432  0.3568  0.2237  4 N 1.93-2.02
W  0.8568  0.1432  0.7237  4 N 1.93-2.02
N  0.0281  0.9719  0.5987  1 N 1.31
N  0.1269  0.3731  0.7500  2 W 2.02
N  0.2348  0.7652  0.9939  2 W 1.93-1.96
N  0.2652  0.7348  0.4939  2 W 1.93-1.96
N  0.3731  0.1269  0.2500  2 W 2.02
N  0.4719  0.5281  0.0987  1 N 1.31
N  0.5281  0.4719  0.9013  1 N 1.31
N  0.6269  0.8731  0.7500  2 W 2.02
N  0.7348  0.2652  0.5061  2 W 1.93-1.96
N  0.7652  0.2348  0.0061  2 W 1.93-1.96
N  0.8731  0.6269  0.2500  2 W 2.02
N  0.9719  0.0281  0.4013  1 N 1.31

***

Record 4
Computed, not measured: an optimized crystal structure of SrWN at the PBE-GGA level of DFT.

E_form (uncorrected) (eV/atom): 0.50
Crystal system: orthorhombic

abc: 11.8621 3.1864 3.1864
angles: 60.02 90.00 90.00
Closest atoms and distances in Å follow each position.
Positions (direct):
Sr  0.1304  0.0000  0.0000  3 N 2.40
Sr  0.8696  0.0000  0.0000  3 N 2.40
W  0.3932  0.6650  0.6650  3 N 2.23
W  0.6068  0.6650  0.6650  3 N 2.23
N  0.0000  0.3335  0.3335  6 Sr 2.40
N  0.5000  0.3316  0.3316  6 W 2.23

***

Record 5
Computed, not measured: an optimized crystal structure of SrWN2 at the PBE-GGA level of DFT.

Energy above the lowest structure with this stoichiometry (eV per formula unit): 5.54
E_form (uncorrected) (eV/atom): 0.86
Crystal system: cubic

abc: 4.1034 4.1034 4.1034
angles: 60.00 60.00 60.00
Closest atoms and distances in Å follow each position.
Positions (direct):
Sr  0.0000  0.0000  0.0000  8 N 2.51
W  0.5000  0.5000  0.5000  8 N 2.51
N  0.2500  0.2500  0.2500  4 W 2.51, 4 Sr 2.51
N  0.7500  0.7500  0.7500  4 Sr 2.51, 4 W 2.51

***

Record 6
Computed, not measured: an optimized crystal structure of SrWN3 at the PBE-GGA level of DFT.

E_form (uncorrected) (eV/atom): -0.33
Crystal system: monoclinic

abc: 7.3230 7.3230 7.0135
angles: 118.22 118.22 26.59
Closest atoms and distances in Å follow each position.
Positions (direct):
Sr  0.1212  0.1212  0.4562  5 N 2.40-2.67
Sr  0.8788  0.8788  0.5438  5 N 2.40-2.67
W  0.3458  0.3458  0.9818  1 N 1.80
W  0.6542  0.6542  0.0182  1 N 1.80
N  0.0346  0.0346  0.9594  1 N 1.36
N  0.1805  0.1805  0.8765  3 W 2.08-2.10
N  0.3190  0.3190  0.7037  1 W 1.80
N  0.6810  0.6810  0.2963  1 W 1.80
N  0.8195  0.8195  0.1235  3 W 2.08-2.10
N  0.9654  0.9654  0.0406  1 N 1.36

***

Record 7
Computed, not measured: an optimized crystal structure of SrWN2 at the PBE-GGA level of DFT.

Energy above the lowest structure with this stoichiometry (eV per formula unit): 0.00
E_form (uncorrected) (eV/atom): -0.53
Crystal system: tetragonal

abc: 6.3767 6.3767 6.3767
angles: 132.52 132.52 69.41
Closest atoms and distances in Å follow each position.
Positions (direct):
Sr  0.0000  0.0000  0.0000  4 N 2.65
Sr  0.7500  0.2500  0.5000  4 N 2.65
W  0.2500  0.7500  0.5000  4 N 1.95
W  0.5000  0.5000  0.0000  4 N 1.95
N  0.2482  0.6250  0.1232  2 W 1.95
N  0.3750  0.4982  0.6232  2 W 1.95
N  0.5018  0.1250  0.8768  2 W 1.95
N  0.8750  0.7518  0.3768  2 W 1.95

***

Record 8
Computed, not measured: an optimized crystal structure of SrWN3 at the PBE-GGA level of DFT.

E_form (uncorrected) (eV/atom): -0.44
Crystal system: orthorhombic

abc: 5.7914 9.2591 6.1672
angles: 90.00 90.00 90.00
Closest atoms and distances in Å follow each position.
Positions (direct):
Sr  0.0000  0.0000  0.0000  6 N 2.63-2.73
Sr  0.0000  0.5000  0.0000  6 N 2.63-2.73
Sr  0.5000  0.0000  0.5000  6 N 2.63-2.73
Sr  0.5000  0.5000  0.5000  6 N 2.63-2.73
W  0.9998  0.2500  0.4297  4 N 1.83-1.95
W  0.0002  0.7500  0.5703  4 N 1.83-1.95
W  0.4998  0.2500  0.0703  4 N 1.83-1.95
W  0.5002  0.7500  0.9297  4 N 1.83-1.95
N  0.0729  0.0966  0.6042  1 W 1.83
N  0.0729  0.4034  0.6042  1 W 1.83
N  0.1790  0.2500  0.1659  2 W 1.93-1.95
N  0.3210  0.7500  0.6659  2 W 1.93-1.95
N  0.4271  0.5966  0.1042  1 W 1.83
N  0.4271  0.9034  0.1042  1 W 1.83
N  0.5729  0.0966  0.8958  1 W 1.83
N  0.5729  0.4034  0.8958  1 W 1.83
N  0.6790  0.2500  0.3341  2 W 1.93-1.95
N  0.8210  0.7500  0.8341  2 W 1.93-1.95
N  0.9271  0.5966  0.3958  1 W 1.83
N  0.9271  0.9034  0.3958  1 W 1.83

***

Record 9
Computed, not measured: an optimized crystal structure of SrWN3 at the PBE-GGA level of DFT.

E_form (uncorrected) (eV/atom): -0.57
Crystal system: triclinic

abc: 3.9193 4.1606 8.5797
angles: 90.78 97.92 90.69
Closest atoms and distances in Å follow each position.
Positions (direct):
Sr  0.0000  0.0000  0.0000  7 N 2.63-2.90
Sr  0.1325  0.9720  0.4488  5 N 2.58-2.72
W  0.4143  0.5134  0.7488  3 N 1.84-2.04
W  0.5584  0.5009  0.2095  4 N 1.85-2.03
N  0.0759  0.4447  0.2565  2 W 2.00-2.03
N  0.4778  0.9534  0.7717  1 W 1.85
N  0.4900  0.4597  0.9919  1 W 1.85
N  0.5717  0.9470  0.2416  1 W 1.87
N  0.6686  0.4515  0.5586  1 N 1.33
N  0.9767  0.4419  0.6464  1 N 1.33

***

Record 10
Computed, not measured: an optimized crystal structure of SrWN3 at the PBE-GGA level of DFT.

E_form (uncorrected) (eV/atom): -0.55
Crystal system: triclinic

abc: 3.5418 6.5897 7.0992
angles: 113.07 104.18 90.07
Closest atoms and distances in Å follow each position.
Positions (direct):
Sr  0.0000  0.0000  0.0000  5 N 2.50-2.61
Sr  0.2224  0.5392  0.4582  8 N 2.63-2.87
W  0.5050  0.5275  0.0153  4 N 1.80-1.98
W  0.7423  0.0663  0.4985  2 N 1.80-2.00
N  0.0099  0.4013  0.0277  2 W 1.97-1.98
N  0.3017  0.0145  0.6217  1 N 1.47
N  0.3349  0.2550  0.6790  1 N 1.47
N  0.4388  0.7071  0.8761  1 W 1.80
N  0.6462  0.1774  0.2991  1 W 1.80
N  0.6498  0.7412  0.3119  2 W 1.96-2.00

***

Record 11
Computed, not measured: an optimized crystal structure of Sr2WN3 at the PBE-GGA level of DFT.

Energy above the lowest structure with this stoichiometry (eV per formula unit): 0.00
E_form (uncorrected) (eV/atom): -0.86
Crystal system: monoclinic

abc: 6.3384 6.3384 12.6495
angles: 91.25 91.25 125.40
Closest atoms and distances in Å follow each position.
Positions (direct):
Sr  0.0300  0.4247  0.3568  3 N 2.60-2.73
Sr  0.1177  0.3441  0.9195  6 N 2.63-2.79
Sr  0.3441  0.1177  0.4195  6 N 2.63-2.79
Sr  0.4247  0.0300  0.8568  3 N 2.60-2.73
Sr  0.5753  0.9700  0.1432  3 N 2.60-2.73
Sr  0.6559  0.8823  0.5805  6 N 2.63-2.79
Sr  0.8823  0.6559  0.0805  6 N 2.63-2.79
Sr  0.9700  0.5753  0.6432  3 N 2.60-2.73
W  0.2685  0.2715  0.6620  4 N 1.86-2.02
W  0.2715  0.2685  0.1620  4 N 1.86-2.02
W  0.7285  0.7315  0.8380  4 N 1.86-2.02
W  0.7315  0.7285  0.3380  4 N 1.86-2.02
N  0.0060  0.9940  0.2500  2 W 1.97
N  0.1303  0.3167  0.5406  1 W 1.86
N  0.1477  0.4677  0.1288  1 W 1.88
N  0.3167  0.1303  0.0406  1 W 1.86
N  0.4015  0.5985  0.7500  2 W 2.02
N  0.4677  0.1477  0.6288  1 W 1.88
N  0.5323  0.8523  0.3712  1 W 1.88
N  0.5985  0.4015  0.2500  2 W 2.02
N  0.6833  0.8697  0.9594  1 W 1.86
N  0.8523  0.5323  0.8712  1 W 1.88
N  0.8697  0.6833  0.4594  1 W 1.86
N  0.9940  0.0060  0.7500  2 W 1.97

***

Record 12
Computed, not measured: an optimized crystal structure of SrWN3 at the PBE-GGA level of DFT.

E_form (uncorrected) (eV/atom): -0.56
Crystal system: triclinic

abc: 3.6995 6.1228 6.5681
angles: 98.25 94.25 98.09
Closest atoms and distances in Å follow each position.
Positions (direct):
Sr  0.0000  0.0000  0.0000  6 N 2.51-2.75
Sr  0.0710  0.4169  0.6822  6 N 2.55-2.79
W  0.4344  0.9218  0.4511  4 N 1.87-2.04
W  0.5809  0.4708  0.2336  2 N 1.82-1.87
N  0.0779  0.5502  0.3314  1 W 1.87
N  0.4656  0.2241  0.4077  2 W 1.90-2.04
N  0.5241  0.7970  0.1863  1 W 1.87
N  0.5587  0.3158  0.9740  1 W 1.82
N  0.6825  0.7636  0.6556  1 N 1.49
N  0.9446  0.9504  0.6042  1 N 1.49

***

Number 1: D(E_F) 0.494 states/eV/atom. Number 2: D(E_F) 0.471 states/eV/atom. Number 3: D(E_F) 0.197 states/eV/atom. Number 4: D(E_F) 0.829 states/eV/atom. Number 5: D(E_F) 0.787 states/eV/atom. Number 6: D(E_F) 0.003 states/eV/atom. Number 7: D(E_F) 0.577 states/eV/atom. Number 8: D(E_F) 0.050 states/eV/atom. Number 9: D(E_F) 0.000 states/eV/atom. Number 10: D(E_F) 0.000 states/eV/atom. Number 11: D(E_F) 0.275 states/eV/atom. Number 12: D(E_F) 0.000 states/eV/atom.